1.
# PrNd4Ga2 PBE-GGA optimized geometry
data_PrNd4Ga2
_symmetry_space_group_name_H-M 'R -3 m'
_symmetry_Int_Tables_number 166
_symmetry_space_group_name_Hall '-R 3 2"'
_cell_length_a 5.0805
_cell_length_b 5.0805
_cell_length_c 30.9674
_cell_angle_alpha 90.00
_cell_angle_beta 90.00
_cell_angle_gamma 120.00
loop_
_atom_site_label
_atom_site_type_symbol
_atom_site_fract_x
_atom_site_fract_y
_atom_site_fract_z
Pr1 Pr 0.0000 0.0000 0.0000
Nd1 Nd 0.0000 0.0000 0.2019
Nd2 Nd 0.0000 0.0000 0.3970
Ga1 Ga 0.0000 0.0000 0.0998
# **DFT formation energy**: -0.099 eV/atom
# **ρ**: 6.17 g/cm³
# **Density of states at the Fermi level**: 12.355 states/eV/f.u.

2.
# Pr3Nd2Ga2 PBE-GGA optimized geometry
data_Pr3Nd2Ga2
_symmetry_space_group_name_H-M 'C 1 2/m 1'
_symmetry_Int_Tables_number 12
_cell_length_a 12.494
_cell_length_b 4.253
_cell_length_c 8.953
_cell_angle_alpha 90.00
_cell_angle_beta 113.51
_cell_angle_gamma 90.00
loop_
_symmetry_equiv_pos_as_xyz
'x,y,z'
'-x,-y,-z'
'-x,y,-z'
'x,-y,z'
'x+1/2,y+1/2,z'
'-x+1/2,-y+1/2,-z'
'-x+1/2,y+1/2,-z'
'x+1/2,-y+1/2,z'
loop_
_atom_site_label
_atom_site_type_symbol
_atom_site_fract_x
_atom_site_fract_y
_atom_site_fract_z
Pr1 Pr 0.000 0.000 0.000
Pr2 Pr 0.119 0.000 0.437
Nd1 Nd 0.155 0.500 0.816
Ga1 Ga 0.175 0.500 0.215
# **DFT formation energy**: -0.286 eV/atom
# **ρ**: 6.48 g/cm³
# **Density of states at the Fermi level**: 8.292 states/eV/f.u.

3.
# Pr3Nd3Ga4 PBE-GGA optimized geometry
data_Pr3Nd3Ga4
_symmetry_space_group_name_H-M 'A m m 2'
_symmetry_Int_Tables_number 38
_cell_length_a 4.579
_cell_length_b 11.154
_cell_length_c 11.114
_cell_angle_alpha 90.00
_cell_angle_beta 90.00
_cell_angle_gamma 90.00
loop_
_symmetry_equiv_pos_as_xyz
'x,y,z'
'-x,-y,z'
'-x,y,z'
'x,-y,z'
'x,y+1/2,z+1/2'
'-x,-y+1/2,z+1/2'
'-x,y+1/2,z+1/2'
'x,-y+1/2,z+1/2'
loop_
_atom_site_label
_atom_site_type_symbol
_atom_site_fract_x
_atom_site_fract_y
_atom_site_fract_z
Pr1 Pr 0.000 0.000 0.000
Pr2 Pr 0.000 0.174 0.326
Nd1 Nd 0.000 0.000 0.652
Nd2 Nd 0.500 0.250 0.076
Ga1 Ga 0.500 0.000 0.209
Ga2 Ga 0.500 0.000 0.444
Ga3 Ga 0.500 0.117 0.825
# **DFT formation energy**: -0.473 eV/atom
# **ρ**: 6.64 g/cm³
# **Density of states at the Fermi level**: 11.295 states/eV/f.u.

4.
# Pr2Nd3Ga4 PBE-GGA optimized geometry
data_Pr2Nd3Ga4
_symmetry_space_group_name_H-M 'C m c e'
_symmetry_Int_Tables_number 64
_symmetry_space_group_name_Hall '-C 2ac 2'
_cell_length_a 7.245
_cell_length_b 15.767
_cell_length_c 8.905
_cell_angle_alpha 90.00
_cell_angle_beta 90.00
_cell_angle_gamma 90.00
loop_
_atom_site_label
_atom_site_type_symbol
_atom_site_fract_x
_atom_site_fract_y
_atom_site_fract_z
Pr1 Pr 0.000 0.105 0.071
Nd1 Nd 0.000 0.000 0.500
Nd2 Nd 0.250 0.220 0.750
Ga1 Ga 0.000 0.189 0.469
Ga2 Ga 0.250 0.028 0.750
# **DFT formation energy**: -0.387 eV/atom
# **ρ**: 6.49 g/cm³
# **Density of states at the Fermi level**: 6.513 states/eV/f.u.

5.
# Pr5NdGa6 PBE-GGA optimized geometry
data_Pr5NdGa6
_symmetry_space_group_name_H-M 'I m m m'
_symmetry_Int_Tables_number 71
_symmetry_space_group_name_Hall '-I 2 2'
_cell_length_a 5.257
_cell_length_b 7.447
_cell_length_c 15.793
_cell_angle_alpha 90.00
_cell_angle_beta 90.00
_cell_angle_gamma 90.00
loop_
_atom_site_label
_atom_site_type_symbol
_atom_site_fract_x
_atom_site_fract_y
_atom_site_fract_z
Pr1 Pr 0.000 0.000 0.000
Pr2 Pr 0.000 0.000 0.332
Pr3 Pr 0.000 0.500 0.334
Nd1 Nd 0.000 0.500 0.000
Ga1 Ga 0.000 0.247 0.500
Ga2 Ga 0.000 0.252 0.166
# **DFT formation energy**: -0.545 eV/atom
# **ρ**: 6.81 g/cm³
# **Density of states at the Fermi level**: 4.851 states/eV/f.u.

6.
# Pr4NdGa3 PBE-GGA optimized geometry
data_Pr4NdGa3
_symmetry_space_group_name_H-M 'I 4/m c m'
_symmetry_Int_Tables_number 140
_symmetry_space_group_name_Hall '-I 4 2c'
_cell_length_a 12.155
_cell_length_b 12.155
_cell_length_c 6.125
_cell_angle_alpha 90.00
_cell_angle_beta 90.00
_cell_angle_gamma 90.00
loop_
_atom_site_label
_atom_site_type_symbol
_atom_site_fract_x
_atom_site_fract_y
_atom_site_fract_z
Pr1 Pr 0.087 0.215 0.000
Nd1 Nd 0.000 0.500 0.250
Ga1 Ga 0.000 0.000 0.250
Ga2 Ga 0.159 0.341 0.500
# **DFT formation energy**: -0.437 eV/atom
# **ρ**: 6.73 g/cm³
# **Density of states at the Fermi level**: 6.744 states/eV/f.u.

7.
# PrNd8Ga6 PBE-GGA optimized geometry
data_PrNd8Ga6
_symmetry_space_group_name_H-M 'R -3'
_symmetry_Int_Tables_number 148
_symmetry_space_group_name_Hall '-R 3'
_cell_length_a 8.9250
_cell_length_b 8.9250
_cell_length_c 18.9766
_cell_angle_alpha 90.00
_cell_angle_beta 90.00
_cell_angle_gamma 120.00
loop_
_atom_site_label
_atom_site_type_symbol
_atom_site_fract_x
_atom_site_fract_y
_atom_site_fract_z
Pr1 Pr 0.0000 0.0000 0.0000
Nd1 Nd 0.0000 0.0000 0.3333
Nd2 Nd 0.0000 0.3333 0.1137
Ga1 Ga 0.9999 0.3346 0.9441
# **DFT formation energy**: -0.352 eV/atom
# **ρ**: 6.52 g/cm³
# **Density of states at the Fermi level**: 18.389 states/eV/f.u.

8.
# PrNd5Ga5 PBE-GGA optimized geometry
data_PrNd5Ga5
_symmetry_space_group_name_H-M 'C 1 2/m 1'
_symmetry_Int_Tables_number 12
_cell_length_a 15.558
_cell_length_b 5.870
_cell_length_c 7.019
_cell_angle_alpha 90.00
_cell_angle_beta 100.01
_cell_angle_gamma 90.00
loop_
_symmetry_equiv_pos_as_xyz
'x,y,z'
'-x,-y,-z'
'-x,y,-z'
'x,-y,z'
'x+1/2,y+1/2,z'
'-x+1/2,-y+1/2,-z'
'-x+1/2,y+1/2,-z'
'x+1/2,-y+1/2,z'
loop_
_atom_site_label
_atom_site_type_symbol
_atom_site_fract_x
_atom_site_fract_y
_atom_site_fract_z
Pr1 Pr 0.000 0.000 0.000
Nd1 Nd 0.000 0.000 0.500
Nd2 Nd 0.141 0.500 0.396
Nd3 Nd 0.183 0.500 0.900
Ga1 Ga 0.000 0.500 0.000
Ga2 Ga 0.168 0.000 0.323
Ga3 Ga 0.180 0.000 0.719
# **DFT formation energy**: -0.318 eV/atom
# **ρ**: 6.37 g/cm³
# **Density of states at the Fermi level**: 12.369 states/eV/f.u.

9.
# PrNd2Ga6 PBE-GGA optimized geometry
data_PrNd2Ga6
_symmetry_space_group_name_H-M 'P 6/m m m'
_symmetry_Int_Tables_number 191
_symmetry_space_group_name_Hall '-P 6 2'
_cell_length_a 7.4152
_cell_length_b 7.4152
_cell_length_c 4.3265
_cell_angle_alpha 90.00
_cell_angle_beta 90.00
_cell_angle_gamma 120.00
loop_
_atom_site_label
_atom_site_type_symbol
_atom_site_fract_x
_atom_site_fract_y
_atom_site_fract_z
Pr1 Pr 0.0000 0.0000 0.0000
Nd1 Nd 0.3333 0.6667 0.0000
Ga1 Ga 0.0000 0.3337 0.5000
# **DFT formation energy**: -0.687 eV/atom
# **ρ**: 6.83 g/cm³
# **Density of states at the Fermi level**: 5.628 states/eV/f.u.

10.
# PrNdGa PBE-GGA optimized geometry
data_PrNdGa
_symmetry_space_group_name_H-M 'I 4 m m'
_symmetry_Int_Tables_number 107
_symmetry_space_group_name_Hall 'I 4 -2'
_cell_length_a 3.590
_cell_length_b 3.590
_cell_length_c 13.697
_cell_angle_alpha 90.00
_cell_angle_beta 90.00
_cell_angle_gamma 90.00
loop_
_atom_site_label
_atom_site_type_symbol
_atom_site_fract_x
_atom_site_fract_y
_atom_site_fract_z
Pr1 Pr 0.000 0.000 0.000
Nd1 Nd 0.000 0.000 0.285
Ga1 Ga 0.000 0.000 0.644
# **DFT formation energy**: -0.321 eV/atom
# **ρ**: 6.68 g/cm³
# **Density of states at the Fermi level**: 3.053 states/eV/f.u.

11.
# Pr5NdGa2 PBE-GGA optimized geometry
data_Pr5NdGa2
_symmetry_space_group_name_H-M 'I m m m'
_symmetry_Int_Tables_number 71
_symmetry_space_group_name_Hall '-I 2 2'
_cell_length_a 4.417
_cell_length_b 10.035
_cell_length_c 11.289
_cell_angle_alpha 90.00
_cell_angle_beta 90.00
_cell_angle_gamma 90.00
loop_
_atom_site_label
_atom_site_type_symbol
_atom_site_fract_x
_atom_site_fract_y
_atom_site_fract_z
Pr1 Pr 0.000 0.000 0.000
Pr2 Pr 0.000 0.299 0.349
Nd1 Nd 0.000 0.500 0.000
Ga1 Ga 0.000 0.000 0.284
# **DFT formation energy**: -0.166 eV/atom
# **ρ**: 6.56 g/cm³
# **Density of states at the Fermi level**: 9.982 states/eV/f.u.

12.
# PrNdGa PBE-GGA optimized geometry
data_PrNdGa
_symmetry_space_group_name_H-M 'P -6 m 2'
_symmetry_Int_Tables_number 187
_symmetry_space_group_name_Hall 'P -6 2'
_cell_length_a 3.6603
_cell_length_b 3.6603
_cell_length_c 15.7189
_cell_angle_alpha 90.00
_cell_angle_beta 90.00
_cell_angle_gamma 120.00
loop_
_atom_site_label
_atom_site_type_symbol
_atom_site_fract_x
_atom_site_fract_y
_atom_site_fract_z
Pr1 Pr 0.0000 0.0000 0.1517
Nd1 Nd 0.3333 0.6667 0.3505
Ga1 Ga 0.0000 0.0000 0.5000
Ga2 Ga 0.3333 0.6667 0.0000
# **DFT formation energy**: -0.143 eV/atom
# **ρ**: 6.46 g/cm³
# **Density of states at the Fermi level**: 3.195 states/eV/f.u.

13.
# Pr3NdGa4 PBE-GGA optimized geometry
data_Pr3NdGa4
_symmetry_space_group_name_H-M 'I m m m'
_symmetry_Int_Tables_number 71
_symmetry_space_group_name_Hall '-I 2 2'
_cell_length_a 3.760
_cell_length_b 6.984
_cell_length_c 17.200
_cell_angle_alpha 90.00
_cell_angle_beta 90.00
_cell_angle_gamma 90.00
loop_
_atom_site_label
_atom_site_type_symbol
_atom_site_fract_x
_atom_site_fract_y
_atom_site_fract_z
Pr1 Pr 0.000 0.000 0.000
Pr2 Pr 0.000 0.500 0.202
Nd1 Nd 0.000 0.000 0.500
Ga1 Ga 0.000 0.311 0.371
# **DFT formation energy**: -0.419 eV/atom
# **ρ**: 6.22 g/cm³
# **Density of states at the Fermi level**: 7.231 states/eV/f.u.

14.
# Pr2NdGa2 PBE-GGA optimized geometry
data_Pr2NdGa2
_symmetry_space_group_name_H-M 'C 1 2/m 1'
_symmetry_Int_Tables_number 12
_cell_length_a 9.209
_cell_length_b 5.304
_cell_length_c 6.385
_cell_angle_alpha 90.00
_cell_angle_beta 118.78
_cell_angle_gamma 90.00
loop_
_symmetry_equiv_pos_as_xyz
'x,y,z'
'-x,-y,-z'
'-x,y,-z'
'x,-y,z'
'x+1/2,y+1/2,z'
'-x+1/2,-y+1/2,-z'
'-x+1/2,y+1/2,-z'
'x+1/2,-y+1/2,z'
loop_
_atom_site_label
_atom_site_type_symbol
_atom_site_fract_x
_atom_site_fract_y
_atom_site_fract_z
Pr1 Pr 0.223 0.000 0.169
Nd1 Nd 0.000 0.000 0.500
Ga1 Ga 0.081 0.500 0.244
# **DFT formation energy**: -0.429 eV/atom
# **ρ**: 6.87 g/cm³
# **Density of states at the Fermi level**: 4.658 states/eV/f.u.

15.
# PrNdGa4 PBE-GGA optimized geometry
data_PrNdGa4
_symmetry_space_group_name_H-M 'I -4 m 2'
_symmetry_Int_Tables_number 119
_symmetry_space_group_name_Hall 'I -4 -2'
_cell_length_a 4.294
_cell_length_b 4.294
_cell_length_c 14.936
_cell_angle_alpha 90.00
_cell_angle_beta 90.00
_cell_angle_gamma 90.00
loop_
_atom_site_label
_atom_site_type_symbol
_atom_site_fract_x
_atom_site_fract_y
_atom_site_fract_z
Pr1 Pr 0.000 0.000 0.000
Nd1 Nd 0.000 0.500 0.250
Ga1 Ga 0.000 0.000 0.417
Ga2 Ga 0.000 0.500 0.667
# **DFT formation energy**: -0.682 eV/atom
# **ρ**: 6.80 g/cm³
# **Density of states at the Fermi level**: 3.687 states/eV/f.u.

16.
# Pr2NdGa3 PBE-GGA optimized geometry
data_Pr2NdGa3
_symmetry_space_group_name_H-M 'C m c m'
_symmetry_Int_Tables_number 63
_symmetry_space_group_name_Hall '-C 2c 2'
_cell_length_a 4.739
_cell_length_b 21.741
_cell_length_c 6.354
_cell_angle_alpha 90.00
_cell_angle_beta 90.00
_cell_angle_gamma 90.00
loop_
_atom_site_label
_atom_site_type_symbol
_atom_site_fract_x
_atom_site_fract_y
_atom_site_fract_z
Pr1 Pr 0.000 0.034 0.250
Pr2 Pr 0.000 0.143 0.750
Nd1 Nd 0.000 0.322 0.750
Ga1 Ga 0.000 0.263 0.250
Ga2 Ga 0.000 0.439 0.047
# **DFT formation energy**: -0.473 eV/atom
# **ρ**: 6.45 g/cm³
# **Density of states at the Fermi level**: 5.882 states/eV/f.u.

17.
# PrNdGa PBE-GGA optimized geometry
data_PrNdGa
_symmetry_space_group_name_H-M 'P -6 2 m'
_symmetry_Int_Tables_number 189
_symmetry_space_group_name_Hall 'P -6 -2'
_cell_length_a 8.1587
_cell_length_b 8.1587
_cell_length_c 4.5326
_cell_angle_alpha 90.00
_cell_angle_beta 90.00
_cell_angle_gamma 120.00
loop_
_atom_site_label
_atom_site_type_symbol
_atom_site_fract_x
_atom_site_fract_y
_atom_site_fract_z
Pr1 Pr 0.0000 0.4055 0.0000
Nd1 Nd 0.0000 0.7315 0.5000
Ga1 Ga 0.0000 0.0000 0.0000
Ga2 Ga 0.3333 0.6667 0.5000
# **DFT formation energy**: -0.394 eV/atom
# **ρ**: 6.77 g/cm³
# **Density of states at the Fermi level**: 3.239 states/eV/f.u.

18.
# Pr2Nd8Ga PBE-GGA optimized geometry
data_Pr2Nd8Ga
_symmetry_space_group_name_H-M 'C 1 2/m 1'
_symmetry_Int_Tables_number 12
_cell_length_a 18.079
_cell_length_b 5.600
_cell_length_c 7.876
_cell_angle_alpha 90.00
_cell_angle_beta 110.83
_cell_angle_gamma 90.00
loop_
_symmetry_equiv_pos_as_xyz
'x,y,z'
'-x,-y,-z'
'-x,y,-z'
'x,-y,z'
'x+1/2,y+1/2,z'
'-x+1/2,-y+1/2,-z'
'-x+1/2,y+1/2,-z'
'x+1/2,-y+1/2,z'
loop_
_atom_site_label
_atom_site_type_symbol
_atom_site_fract_x
_atom_site_fract_y
_atom_site_fract_z
Pr1 Pr 0.186 0.000 0.160
Nd1 Nd 0.015 0.000 0.277
Nd2 Nd 0.099 0.500 0.916
Nd3 Nd 0.157 0.500 0.424
Nd4 Nd 0.182 0.000 0.726
Ga1 Ga 0.000 0.500 0.500
# **DFT formation energy**: -0.003 eV/atom
# **ρ**: 6.71 g/cm³
# **Density of states at the Fermi level**: 15.970 states/eV/f.u.

19.
# PrNd3Ga4 PBE-GGA optimized geometry
data_PrNd3Ga4
_symmetry_space_group_name_H-M 'P m m a'
_symmetry_Int_Tables_number 51
_cell_length_a 10.470
_cell_length_b 7.416
_cell_length_c 5.236
_cell_angle_alpha 90.00
_cell_angle_beta 90.00
_cell_angle_gamma 90.00
loop_
_symmetry_equiv_pos_as_xyz
'x,y,z'
'-x,-y,-z'
'-x+1/2,-y,z'
'x+1/2,y,-z'
'x+1/2,-y,-z'
'-x+1/2,y,z'
'-x,y,-z'
'x,-y,z'
loop_
_atom_site_label
_atom_site_type_symbol
_atom_site_fract_x
_atom_site_fract_y
_atom_site_fract_z
Pr1 Pr 0.000 0.000 0.000
Nd1 Nd 0.000 0.500 0.000
Nd2 Nd 0.250 0.000 0.498
Nd3 Nd 0.250 0.500 0.499
Ga1 Ga 0.000 0.252 0.500
Ga2 Ga 0.250 0.252 0.998
# **DFT formation energy**: -0.553 eV/atom
# **ρ**: 6.96 g/cm³
# **Density of states at the Fermi level**: 3.306 states/eV/f.u.

20.
# Pr5NdGa4 PBE-GGA optimized geometry
data_Pr5NdGa4
_symmetry_space_group_name_H-M 'P m m n'
_symmetry_Int_Tables_number 59
_cell_length_a 7.927
_cell_length_b 8.934
_cell_length_c 8.484
_cell_angle_alpha 90.00
_cell_angle_beta 90.00
_cell_angle_gamma 90.00
loop_
_symmetry_equiv_pos_as_xyz
'x,y,z'
'-x,-y,-z'
'-x+1/2,-y+1/2,z'
'x+1/2,y+1/2,-z'
'x+1/2,-y,-z'
'-x+1/2,y,z'
'-x,y+1/2,-z'
'x,-y+1/2,z'
loop_
_atom_site_label
_atom_site_type_symbol
_atom_site_fract_x
_atom_site_fract_y
_atom_site_fract_z
Pr1 Pr 0.005 0.053 0.230
Pr2 Pr 0.250 0.750 0.423
Nd1 Nd 0.250 0.250 0.851
Ga1 Ga 0.097 0.750 0.061
Ga2 Ga 0.250 0.101 0.516
# **DFT formation energy**: -0.277 eV/atom
# **ρ**: 6.23 g/cm³
# **Density of states at the Fermi level**: 8.216 states/eV/f.u.

21.
# Pr5NdGa6 PBE-GGA optimized geometry
data_Pr5NdGa6
_symmetry_space_group_name_H-M 'C m m m'
_symmetry_Int_Tables_number 65
_symmetry_space_group_name_Hall '-C 2 2'
_cell_length_a 5.261
_cell_length_b 15.801
_cell_length_c 7.442
_cell_angle_alpha 90.00
_cell_angle_beta 90.00
_cell_angle_gamma 90.00
loop_
_atom_site_label
_atom_site_type_symbol
_atom_site_fract_x
_atom_site_fract_y
_atom_site_fract_z
Pr1 Pr 0.000 0.000 0.000
Pr2 Pr 0.000 0.333 0.000
Pr3 Pr 0.000 0.334 0.500
Nd1 Nd 0.000 0.000 0.500
Ga1 Ga 0.000 0.166 0.251
Ga2 Ga 0.000 0.500 0.251
# **DFT formation energy**: -0.545 eV/atom
# **ρ**: 6.80 g/cm³
# **Density of states at the Fermi level**: 5.788 states/eV/f.u.

22.
# PrNd2Ga6 PBE-GGA optimized geometry
data_PrNd2Ga6
_symmetry_space_group_name_H-M 'I m m m'
_symmetry_Int_Tables_number 71
_symmetry_space_group_name_Hall '-I 2 2'
_cell_length_a 4.455
_cell_length_b 7.263
_cell_length_c 13.495
_cell_angle_alpha 90.00
_cell_angle_beta 90.00
_cell_angle_gamma 90.00
loop_
_atom_site_label
_atom_site_type_symbol
_atom_site_fract_x
_atom_site_fract_y
_atom_site_fract_z
Pr1 Pr 0.000 0.000 0.000
Nd1 Nd 0.000 0.500 0.131
Ga1 Ga 0.000 0.183 0.500
Ga2 Ga 0.000 0.311 0.323
# **DFT formation energy**: -0.456 eV/atom
# **ρ**: 6.45 g/cm³
# **Density of states at the Fermi level**: 4.744 states/eV/f.u.